1.
First-principles (PBE-GGA) data for a relaxed structure of GeAs, as listed in the Alexandria database.

a = 3.832 Å, b = 3.832 Å, c = 8.461 Å
α = 103.26°, β = 103.26°, γ = 60.01°
Atoms (fractional coordinates):
Ge: 0.051 0.051 0.152
Ge: 0.949 0.949 0.848
As: 0.235 0.235 0.709
As: 0.765 0.765 0.291

Output
Energy of formation ... -0.015 eV/atom
Space group ... C2/m, No. 12
Electronic total energy ... -9.3 eV/f.u.



2.
First-principles (PBE-GGA) data for a relaxed structure of ThPaSb2C, as listed in the Alexandria database.

a = 4.365 Å, b = 4.365 Å, c = 14.303 Å
α = 90.00°, β = 90.00°, γ = 90.00°
Atoms (fractional coordinates):
Th: 0.250 0.250 0.124
Th: 0.750 0.750 0.876
Pa: 0.250 0.250 0.569
Pa: 0.750 0.750 0.431
Sb: 0.250 0.250 0.339
Sb: 0.250 0.250 0.895
Sb: 0.750 0.750 0.105
Sb: 0.750 0.750 0.661
C: 0.250 0.750 0.500
C: 0.750 0.250 0.500

Output
Space group ... P4/nmm, No. 129
Electronic total energy ... -36.4 eV/f.u.



3.
First-principles (PBE-GGA) data for a relaxed structure of UCl4, as listed in the Alexandria database.

a = 8.866 Å, b = 8.866 Å, c = 6.988 Å
α = 103.08°, β = 103.08°, γ = 127.48°
Atoms (fractional coordinates):
U: 0.072 0.928 0.750
U: 0.928 0.072 0.250
Cl: 0.062 0.415 0.255
Cl: 0.156 0.265 0.697
Cl: 0.265 0.156 0.197
Cl: 0.415 0.062 0.755
Cl: 0.585 0.938 0.245
Cl: 0.735 0.844 0.803
Cl: 0.844 0.735 0.303
Cl: 0.938 0.585 0.745

Output
Space group ... C2/c, No. 15
Electronic total energy ... -27.2 eV/f.u.



4.
First-principles (PBE-GGA) data for a relaxed structure of Sr2InSn3Au4, as listed in the Alexandria database.

a = 4.689 Å, b = 4.689 Å, c = 11.685 Å
α = 90.00°, β = 90.00°, γ = 90.00°
Atoms (fractional coordinates):
Sr: 0.000 0.500 0.239
Sr: 0.500 0.000 0.761
In: 0.000 0.000 0.500
Sn: 0.000 0.500 0.870
Sn: 0.500 0.000 0.130
Sn: 0.500 0.500 0.500
Au: 0.000 0.000 0.000
Au: 0.000 0.500 0.638
Au: 0.500 0.000 0.362
Au: 0.500 0.500 0.000

Output
Energy of formation ... -0.555 eV/atom
Space group ... P-4m2, No. 115
Electronic total energy ... -36.8 eV/f.u.



5.
First-principles (PBE-GGA) data for a relaxed structure of TbNd2HoTh, as listed in the Alexandria database.

a = 8.490 Å, b = 6.519 Å, c = 6.318 Å
α = 90.00°, β = 96.14°, γ = 90.00°
Atoms (fractional coordinates):
Tb: 0.000 0.057 0.250
Tb: 0.000 0.943 0.750
Nd: 0.311 0.195 0.715
Nd: 0.311 0.805 0.215
Nd: 0.689 0.195 0.785
Nd: 0.689 0.805 0.285
Ho: 0.500 0.333 0.250
Ho: 0.500 0.667 0.750
Th: 0.000 0.500 0.000
Th: 0.000 0.500 0.500

Output
Energy of formation ... 0.330 eV/atom
Space group ... P2/c, No. 13
Electronic total energy ... -24.5 eV/f.u.



6.
First-principles (PBE-GGA) data for a relaxed structure of MnTl2Fe, as listed in the Alexandria database.

a = 3.117 Å, b = 3.923 Å, c = 6.185 Å
α = 90.00°, β = 90.00°, γ = 90.00°
Atoms (fractional coordinates):
Mn: 0.000 0.000 0.000
Tl: 0.500 0.500 0.254
Tl: 0.500 0.500 0.746
Fe: 0.000 0.000 0.500

Output
Energy of formation ... 0.616 eV/atom
Distance to the lowest polymorph of the same formula ... 0.137 eV per atom
Space group ... Pmmm, No. 47
Electronic total energy ... -19.9 eV/f.u.